# SrCdPb2

A relaxed structure of SrCdPb2 (PBE, Alexandria via LeMat-Bulk).

V, Å³ per atom: 31.62
M_tot, Bohr magnetons per cell: 0.00
Density, g/cm³: 8.1
Electronic total energy, eV per cell: -10.94
Energy relative to the elements, eV per atom: -0.23

Cell lengths 3.8918, 5.6555, 5.7474 Å; angles 90.00, 90.09, 90.00 degrees
Positions (direct):
1 Sr 0.0000 0.0000 0.0000
2 Cd 0.5008 0.5000 0.1501
3 Pb 0.0045 0.5000 0.6236
4 Pb 0.5012 0.0000 0.4943

***

# SrCd3Pb

A relaxed structure of SrCd3Pb (PBE, Alexandria via LeMat-Bulk).

Energy relative to the lowest polymorph listed for this composition, meV/atom: 0.0
V, Å³ per atom: 28.90
M_tot, Bohr magnetons per cell: 0.00
Density, g/cm³: 7.3
Electronic total energy, eV per cell: -9.39
Energy relative to the elements, eV per atom: -0.25

Cell lengths 7.2926, 7.2875, 4.7219 Å; angles 71.16, 71.05, 37.79 degrees
Positions (direct):
1 Sr 0.0000 0.0000 0.0000
2 Cd 0.2550 0.2550 0.2450
3 Cd 0.3849 0.3849 0.6151
4 Cd 0.7550 0.7550 0.7450
5 Pb 0.6088 0.6088 0.3912